The following is a GGA-PBE calculation of a relaxed structure of MgZnCuIr, from the Alexandria database.

The calculation puts the total moment at 0.0 μB/f.u. The energy relative to the elements is -0.193 eV/atom. As for the energy above the most stable polymorph in this dataset: 41 meV per atom.

Unit cell a=6.1284 b=6.1284 c=6.1284 alpha=90.00 beta=90.00 gamma=90.00
Space group F-43m (No. 216)
One atom of each set of equivalent atoms:
Mg 0.0000 0.0000 0.0000 [4 per cell]
Zn 0.0000 0.0000 0.5000 [4 per cell]
Cu 0.2500 0.2500 0.2500 [4 per cell]
Ir 0.2500 0.2500 0.7500 [4 per cell]

=====

The following is a GGA-PBE calculation of a relaxed structure of FePH, from the Alexandria database.

The calculation puts the total moment at 0.0 μB/f.u. As for the energy above the most stable polymorph in this dataset: 0 meV per atom.

Unit cell a=3.6764 b=3.6764 c=5.6298 alpha=90.00 beta=90.00 gamma=90.00
Space group P4/nmm (No. 129, origin choice 2)
One atom of each set of equivalent atoms:
Fe 0.2500 0.7500 0.0000 [2 per cell]
P 0.2500 0.2500 0.2065 [2 per cell]
H 0.2500 0.2500 0.4613 [2 per cell]